# 1
First-principles (PBE) data for a relaxed structure of TaCoRe, as listed in Alexandria.

Lattice parameters (Å, degrees): 4.104 4.104 4.104 60.00 60.00 60.00
Atoms (fractional coordinates):
Ta 0.000 0.000 0.000
Co 0.250 0.250 0.250
Re 0.500 0.500 0.500

Values from the calculation:
D(E_F) in states/eV per atom: 1.4411
Magnetization in μB/f.u.: 1.282
DFT formation energy in eV/f.u.: 1.289
Calculated total energy in eV for the cell shown: -30.12
Relative energy among the computed polymorphs in eV per atom: 0.479
SG: F-43m, No. 216

=====

# 2
First-principles (PBE) data for a relaxed structure of Na12Bi3I5, as listed in Alexandria.

Lattice parameters (Å, degrees): 16.040 16.040 16.040 109.47 109.47 109.47
Atoms (fractional coordinates):
Na 0.061 0.231 0.139
Na 0.061 0.331 0.922
Na 0.078 0.639 0.408
Na 0.078 0.939 0.669
Na 0.092 0.731 0.669
Na 0.092 0.861 0.422
Na 0.139 0.061 0.231
Na 0.139 0.578 0.908
Na 0.169 0.231 0.592
Na 0.169 0.439 0.578
Na 0.231 0.139 0.061
Na 0.231 0.592 0.169
Na 0.269 0.331 0.908
Na 0.269 0.439 0.361
Na 0.331 0.908 0.269
Na 0.331 0.922 0.061
Na 0.361 0.269 0.439
Na 0.361 0.592 0.922
Na 0.408 0.078 0.639
Na 0.408 0.831 0.769
Na 0.422 0.092 0.861
Na 0.422 0.831 0.561
Na 0.439 0.361 0.269
Na 0.439 0.578 0.169
Na 0.561 0.422 0.831
Na 0.561 0.639 0.731
Na 0.578 0.169 0.439
Na 0.578 0.908 0.139
Na 0.592 0.169 0.231
Na 0.592 0.922 0.361
Na 0.639 0.408 0.078
Na 0.639 0.731 0.561
Na 0.669 0.078 0.939
Na 0.669 0.092 0.731
Na 0.731 0.561 0.639
Na 0.731 0.669 0.092
Na 0.769 0.408 0.831
Na 0.769 0.861 0.939
Na 0.831 0.561 0.422
Na 0.831 0.769 0.408
Na 0.861 0.422 0.092
Na 0.861 0.939 0.769
Na 0.908 0.139 0.578
Na 0.908 0.269 0.331
Na 0.922 0.061 0.331
Na 0.922 0.361 0.592
Na 0.939 0.669 0.078
Na 0.939 0.769 0.861
Bi 0.125 0.250 0.375
Bi 0.125 0.375 0.750
Bi 0.250 0.375 0.125
Bi 0.250 0.875 0.625
Bi 0.375 0.125 0.250
Bi 0.375 0.750 0.125
Bi 0.625 0.250 0.875
Bi 0.625 0.875 0.750
Bi 0.750 0.125 0.375
Bi 0.750 0.625 0.875
Bi 0.875 0.625 0.250
Bi 0.875 0.750 0.625
I 0.000 0.000 0.000
I 0.000 0.000 0.500
I 0.000 0.500 0.000
I 0.000 0.500 0.500
I 0.125 0.750 0.875
I 0.125 0.875 0.250
I 0.250 0.125 0.875
I 0.250 0.625 0.375
I 0.375 0.250 0.625
I 0.375 0.625 0.750
I 0.500 0.000 0.000
I 0.500 0.000 0.500
I 0.500 0.500 0.000
I 0.500 0.500 0.500
I 0.625 0.375 0.250
I 0.625 0.750 0.375
I 0.750 0.375 0.625
I 0.750 0.875 0.125
I 0.875 0.125 0.750
I 0.875 0.250 0.125

Values from the calculation:
D(E_F) in states/eV per atom: 0.4004
Magnetization in μB/f.u.: 2.109
E_form (uncorrected) in eV per formula unit: -13.5
Calculated total energy in eV for the cell shown: -195.07
SG: Ia-3d, No. 230

=====

# 3
First-principles (PBE) data for a relaxed structure of OsO2F2, as listed in Alexandria.

Lattice parameters (Å, degrees): 3.720 3.720 4.005 90.00 90.00 90.00
Atoms (fractional coordinates):
Os 0.000 0.000 0.000
O 0.000 0.500 0.000
O 0.500 0.000 0.000
F 0.000 0.000 0.500
F 0.500 0.500 0.500

Values from the calculation:
D(E_F) in states/eV per atom: 0.7350
Magnetization in μB/f.u.: 0.212
E_form (uncorrected) in eV per formula unit: -4.5
Calculated total energy in eV for the cell shown: -29.38
Relative energy among the computed polymorphs in eV per atom: 0.234
SG: P4/mmm, No. 123

=====

# 4
First-principles (PBE) data for a relaxed structure of Tl6Sb2Te, as listed in Alexandria.

Lattice parameters (Å, degrees): 6.645 6.645 9.973 91.23 91.23 45.27
Atoms (fractional coordinates):
Tl 0.063 0.063 0.316
Tl 0.249 0.249 0.662
Tl 0.344 0.344 0.074
Tl 0.656 0.656 0.926
Tl 0.751 0.751 0.338
Tl 0.937 0.937 0.684
Sb 0.408 0.408 0.404
Sb 0.592 0.592 0.596
Te 0.000 0.000 0.000

Values from the calculation:
D(E_F) in states/eV per atom: 0.1421
Magnetization in μB/f.u.: 0.000
E_form (uncorrected) in eV per formula unit: -0.9
Calculated total energy in eV for the cell shown: -26.49
SG: C2/m, No. 12

=====

# 5
First-principles (PBE) data for a relaxed structure of SrTl7Cd2, as listed in Alexandria.

Lattice parameters (Å, degrees): 10.509 10.509 3.487 90.00 90.00 120.64
Atoms (fractional coordinates):
Sr 0.000 0.000 0.000
Tl 0.139 0.341 0.500
Tl 0.188 0.812 0.000
Tl 0.341 0.139 0.500
Tl 0.500 0.500 0.500
Tl 0.659 0.861 0.500
Tl 0.812 0.188 0.000
Tl 0.861 0.659 0.500
Cd 0.327 0.673 0.500
Cd 0.673 0.327 0.500

Values from the calculation:
D(E_F) in states/eV per atom: 0.4447
Magnetization in μB/f.u.: 0.000
DFT formation energy in eV/f.u.: 0.548
Calculated total energy in eV for the cell shown: -19.53
SG: Cmmm, No. 65

=====

# 6
First-principles (PBE) data for a relaxed structure of Tb8Pr6Dy, as listed in Alexandria.

Lattice parameters (Å, degrees): 9.457 9.457 6.606 90.00 90.00 120.00
Atoms (fractional coordinates):
Tb 0.093 0.437 0.156
Tb 0.333 0.667 0.618
Tb 0.344 0.907 0.156
Tb 0.437 0.344 0.844
Tb 0.563 0.656 0.156
Tb 0.656 0.093 0.844
Tb 0.667 0.333 0.382
Tb 0.907 0.563 0.844
Pr 0.033 0.288 0.665
Pr 0.255 0.967 0.665
Pr 0.288 0.255 0.335
Pr 0.712 0.745 0.665
Pr 0.745 0.033 0.335
Pr 0.967 0.712 0.335
Dy 0.000 0.000 0.000

Values from the calculation:
D(E_F) in states/eV per atom: 1.4306
Magnetization in μB/f.u.: 0.000
DFT formation energy in eV/f.u.: 2.648
Calculated total energy in eV for the cell shown: -67.67
Relative energy among the computed polymorphs in eV per atom: 0.060
SG: P-3, No. 147

=====

# 7
First-principles (PBE) data for a relaxed structure of Tm6FeNi, as listed in Alexandria.

Lattice parameters (Å, degrees): 6.251 6.251 6.460 99.34 99.34 117.79
Atoms (fractional coordinates):
Tm 0.072 0.412 0.244
Tm 0.250 0.250 0.755
Tm 0.412 0.072 0.244
Tm 0.588 0.928 0.756
Tm 0.750 0.750 0.245
Tm 0.928 0.588 0.756
Fe 0.000 0.000 0.000
Ni 0.500 0.500 0.500

Values from the calculation:
D(E_F) in states/eV per atom: 0.8157
Magnetization in μB/f.u.: 0.000
DFT formation energy in eV/f.u.: -0.502
Calculated total energy in eV for the cell shown: -41.58
SG: C2/m, No. 12

=====

# 8
First-principles (PBE) data for a relaxed structure of Te2AsRh, as listed in Alexandria.

Lattice parameters (Å, degrees): 3.464 4.705 5.243 90.00 90.00 90.00
Atoms (fractional coordinates):
Te 0.000 0.000 0.000
Te 0.500 0.000 0.500
As 0.000 0.500 0.500
Rh 0.500 0.500 0.000

Values from the calculation:
D(E_F) in states/eV per atom: 0.6294
Magnetization in μB/f.u.: 0.000
E_form (uncorrected) in eV per formula unit: 1.6
Calculated total energy in eV for the cell shown: -16.63
SG: Pmmm, No. 47

=====

# 9
First-principles (PBE) data for a relaxed structure of NdB3Ir, as listed in Alexandria.

Lattice parameters (Å, degrees): 6.819 6.819 5.483 90.00 90.00 146.99
Atoms (fractional coordinates):
Nd 0.096 0.904 0.750
Nd 0.904 0.096 0.250
B 0.114 0.886 0.250
B 0.253 0.747 0.098
B 0.253 0.747 0.402
B 0.747 0.253 0.598
B 0.747 0.253 0.902
B 0.886 0.114 0.750
Ir 0.331 0.669 0.750
Ir 0.669 0.331 0.250

Values from the calculation:
D(E_F) in states/eV per atom: 0.2908
Magnetization in μB/f.u.: 0.000
DFT formation energy in eV/f.u.: -1.130
Calculated total energy in eV for the cell shown: -69.58
SG: Cmcm, No. 63

=====

# 10
First-principles (PBE) data for a relaxed structure of CaSiAu2, as listed in Alexandria.

Lattice parameters (Å, degrees): 4.699 4.699 4.197 90.00 90.00 105.62
Atoms (fractional coordinates):
Ca 0.000 0.000 0.000
Si 0.500 0.500 0.000
Au 0.308 0.692 0.500
Au 0.692 0.308 0.500

Values from the calculation:
D(E_F) in states/eV per atom: 0.5595
Magnetization in μB/f.u.: 0.000
E_form (uncorrected) in eV per formula unit: -0.9
Calculated total energy in eV for the cell shown: -14.86
SG: Cmmm, No. 65

=====

# 11
First-principles (PBE) data for a relaxed structure of ZrTe2Br, as listed in Alexandria.

Lattice parameters (Å, degrees): 4.158 3.613 8.791 90.00 101.68 90.00
Atoms (fractional coordinates):
Zr 0.000 0.000 0.000
Te 0.196 0.000 0.353
Te 0.554 0.500 0.126
Br 0.903 0.500 0.758

Values from the calculation:
D(E_F) in states/eV per atom: 0.6633
Magnetization in μB/f.u.: 0.000
E_form (uncorrected) in eV per formula unit: -2.5
Calculated total energy in eV for the cell shown: -19.04
Relative energy among the computed polymorphs in eV per atom: 0.105
SG: Pm, No. 6

=====

# 12
First-principles (PBE) data for a relaxed structure of Si2PBr, as listed in Alexandria.

Lattice parameters (Å, degrees): 3.286 3.286 8.515 90.00 90.00 90.00
Atoms (fractional coordinates):
Si 0.000 0.000 0.000
Si 0.500 0.500 0.346
P 0.500 0.500 0.075
Br 0.000 0.000 0.738

Values from the calculation:
D(E_F) in states/eV per atom: 0.1424
Magnetization in μB/f.u.: 0.000
E_form (uncorrected) in eV per formula unit: 0.8
Calculated total energy in eV for the cell shown: -17.11
Relative energy among the computed polymorphs in eV per atom: 0.136
SG: P4mm, No. 99

=====

- The highest calculated total energy belongs to which entry?
  CaSiAu2

=====

Please write out number 5 again, unchanged.
First-principles (PBE) data for a relaxed structure of SrTl7Cd2, as listed in Alexandria.

Lattice parameters (Å, degrees): 10.509 10.509 3.487 90.00 90.00 120.64
Atoms (fractional coordinates):
Sr 0.000 0.000 0.000
Tl 0.139 0.341 0.500
Tl 0.188 0.812 0.000
Tl 0.341 0.139 0.500
Tl 0.500 0.500 0.500
Tl 0.659 0.861 0.500
Tl 0.812 0.188 0.000
Tl 0.861 0.659 0.500
Cd 0.327 0.673 0.500
Cd 0.673 0.327 0.500

Values from the calculation:
D(E_F) in states/eV per atom: 0.4447
Magnetization in μB/f.u.: 0.000
DFT formation energy in eV/f.u.: 0.548
Calculated total energy in eV for the cell shown: -19.53
SG: Cmmm, No. 65

=====

- Number 4 is which compound?
  Tl6Sb2Te